(1)
RbP2HO: relaxed, GGA-PBEsol.

Calculated values
volume: 54.2 Å³/atom
Fermi-level density of states: 6.238 states/eV/f.u.
E_tot: -2.245 eV/atom
symmetry: P4/mmm (123)

abc: 7.396 7.396 4.956
angles: 90.00 90.00 90.00
Element x y z (fractional)
Rb: 0.000 0.000 0.000
P: 0.000 0.500 0.000
P: 0.500 0.000 0.000
H: 0.500 0.500 0.500
O: 0.000 0.000 0.500


(2)
RbPH4O5: relaxed, GGA-PBEsol.

Calculated values
volume: 11.8 Å³/atom
Fermi-level density of states: 0.000 states/eV/f.u.
E_tot: -5.844 eV/atom
symmetry: P2_1/c (14)

abc: 7.374 7.623 9.436
angles: 90.00 101.91 90.00
Element x y z (fractional)
Rb: 0.191 0.212 0.018
Rb: 0.191 0.288 0.518
Rb: 0.809 0.712 0.482
Rb: 0.809 0.788 0.982
P: 0.361 0.701 0.158
P: 0.361 0.799 0.658
P: 0.639 0.201 0.342
P: 0.639 0.299 0.842
H: 0.067 0.522 0.224
H: 0.067 0.978 0.724
H: 0.123 0.573 0.760
H: 0.123 0.927 0.260
H: 0.343 0.714 0.433
H: 0.343 0.786 0.933
H: 0.415 0.507 0.813
H: 0.415 0.993 0.313
H: 0.585 0.007 0.687
H: 0.585 0.493 0.187
H: 0.657 0.214 0.067
H: 0.657 0.286 0.567
H: 0.877 0.073 0.740
H: 0.877 0.427 0.240
H: 0.933 0.022 0.276
H: 0.933 0.478 0.776
O: 0.020 0.001 0.209
O: 0.020 0.499 0.709
O: 0.219 0.557 0.123
O: 0.219 0.943 0.623
O: 0.343 0.657 0.534
O: 0.343 0.843 0.034
O: 0.350 0.692 0.796
O: 0.350 0.808 0.296
O: 0.435 0.128 0.324
O: 0.435 0.372 0.824
O: 0.565 0.628 0.176
O: 0.565 0.872 0.676
O: 0.650 0.192 0.704
O: 0.650 0.308 0.204
O: 0.657 0.157 0.966
O: 0.657 0.343 0.466
O: 0.781 0.057 0.377
O: 0.781 0.443 0.877
O: 0.980 0.501 0.291
O: 0.980 0.999 0.791


(3)
Rb2PH3SeO8: relaxed, GGA-PBEsol.

Calculated values
volume: 14.5 Å³/atom
Fermi-level density of states: 0.000 states/eV/f.u.
E above lowest polymorph: 0 meV/atom
symmetry: Pc (7)

abc: 7.446 7.659 9.770
angles: 90.00 128.49 90.00
Element x y z (fractional)
Rb: 0.000 0.053 0.000
Rb: 0.000 0.947 0.500
Rb: 0.211 0.439 0.422
Rb: 0.211 0.561 0.922
P: 0.451 0.048 0.961
P: 0.451 0.952 0.461
H: 0.480 0.269 0.823
H: 0.480 0.731 0.323
H: 0.577 0.238 0.183
H: 0.577 0.762 0.683
H: 0.705 0.176 0.595
H: 0.705 0.824 0.095
Se: 0.742 0.446 0.454
Se: 0.742 0.554 0.954
O: 0.256 0.079 0.379
O: 0.256 0.921 0.879
O: 0.429 0.203 0.056
O: 0.429 0.797 0.556
O: 0.455 0.133 0.816
O: 0.455 0.867 0.316
O: 0.488 0.458 0.807
O: 0.488 0.542 0.307
O: 0.693 0.036 0.601
O: 0.693 0.964 0.101
O: 0.741 0.356 0.610
O: 0.741 0.644 0.110
O: 0.777 0.286 0.355
O: 0.777 0.714 0.855
O: 0.955 0.414 0.043
O: 0.955 0.586 0.543


(4)
Rb2PH3SeO8: relaxed, GGA-PBEsol.

Calculated values
volume: 14.6 Å³/atom
Fermi-level density of states: 0.000 states/eV/f.u.
E above lowest polymorph: 5 meV/atom
symmetry: P-1 (2)

abc: 7.482 7.677 7.743
angles: 90.50 99.72 90.29
Element x y z (fractional)
Rb: 0.091 0.307 0.201
Rb: 0.384 0.801 0.293
Rb: 0.616 0.199 0.707
Rb: 0.909 0.693 0.799
P: 0.096 0.200 0.740
P: 0.904 0.800 0.260
H: 0.000 0.000 0.500
H: 0.221 0.417 0.613
H: 0.267 0.994 0.890
H: 0.500 0.500 0.000
H: 0.733 0.006 0.110
H: 0.779 0.583 0.387
Se: 0.402 0.703 0.760
Se: 0.598 0.297 0.240
O: 0.010 0.958 0.352
O: 0.016 0.669 0.181
O: 0.204 0.283 0.602
O: 0.246 0.126 0.893
O: 0.248 0.612 0.604
O: 0.299 0.797 0.911
O: 0.465 0.460 0.142
O: 0.468 0.163 0.327
O: 0.532 0.837 0.673
O: 0.535 0.540 0.858
O: 0.701 0.203 0.089
O: 0.752 0.388 0.396
O: 0.754 0.874 0.107
O: 0.796 0.717 0.398
O: 0.984 0.331 0.819
O: 0.990 0.042 0.648